DFT (PBE-GGA) results for crystalline Hg2CBr at its relaxed geometry.

Summary:
Polymorph energy (0 for the lowest one) (eV per atom): 0.000

abc: 6.1991 6.1991 6.9764
angles: 63.62 63.62 90.00
Each line ends with the local moment (μB).
Atoms (fractional coordinates):
C 0.5000 0.5000 0.0000  0.35
C 0.2500 0.7500 0.5000  0.35
Hg 0.4782 0.1250 0.2500  0.10
Hg 0.2718 0.6250 0.2500  0.11
Hg 0.3750 0.5218 0.7500  0.12
Hg 0.8750 0.7282 0.7500  0.09
Br 0.0000 0.0000 0.0000  0.12
Br 0.7500 0.2500 0.5000  0.12

DFT (PBE-GGA) results for crystalline HgIrC2Br at its relaxed geometry.

Summary:
Uncorrected energy (eV/atom): -2.919

abc: 4.0418 4.9911 4.0418
angles: 90.00 90.00 90.00
Atoms (fractional coordinates):
C 0.0000 0.0000 0.5000
C 0.5000 0.0000 0.0000
Ir 0.0000 0.5000 0.0000
Hg 0.5000 0.5000 0.5000
Br 0.0000 0.0000 0.0000

DFT (PBE-GGA) results for crystalline KHgC2Br at its relaxed geometry.

Summary:
Uncorrected energy (eV/atom): -2.146

abc: 5.0460 6.0444 5.0460
angles: 90.00 90.00 90.00
Each line ends with the local moment (μB).
Atoms (fractional coordinates):
C 0.0000 0.0000 0.5000  0.82
C 0.5000 0.0000 0.0000  0.94
K 0.0000 0.5000 0.0000  0.01
Hg 0.5000 0.5000 0.5000  0.05
Br 0.0000 0.0000 0.0000  -0.02

DFT (PBE-GGA) results for crystalline LiHgC2Br at its relaxed geometry.

Summary:
Uncorrected energy (eV/atom): -2.645

abc: 4.1700 9.4182 4.1700
angles: 90.00 90.00 90.00
Each line ends with the local moment (μB).
Atoms (fractional coordinates):
C 0.0000 0.0000 0.5000  0.77
C 0.5000 0.0000 0.0000  0.70
Hg 0.0000 0.0000 0.0000  0.17
Br 0.5000 0.5000 0.5000  0.01
Li 0.0000 0.5000 0.0000  0.00

DFT (PBE-GGA) results for crystalline HgCBr3N at its relaxed geometry.

Summary:
Uncorrected energy (eV/atom): -3.282

abc: 10.6794 10.6794 7.2912
angles: 90.00 90.00 149.80
Each line ends with the local moment (μB).
Atoms (fractional coordinates):
Hg 0.5756 0.4244 0.2500  0.00
Hg 0.4244 0.5756 0.7500  0.00
C 0.9017 0.0983 0.2500  0.30
C 0.0983 0.9017 0.7500  0.30
Br 0.4554 0.5446 0.2500  0.17
Br 0.5446 0.4554 0.7500  0.17
Br 0.9415 0.5720 0.2500  0.01
Br 0.5720 0.9415 0.7500  0.01
Br 0.0585 0.4280 0.7500  0.01
Br 0.4280 0.0585 0.2500  0.01
N 0.8446 0.1554 0.2500  0.12
N 0.1554 0.8446 0.7500  0.12

DFT (PBE-GGA) results for crystalline Nd3HgCBr at its relaxed geometry.

Summary:
Uncorrected energy (eV/atom): -4.728

abc: 3.8118 10.2244 9.0527
angles: 91.49 90.00 90.00
Each line ends with the local moment (μB).
Atoms (fractional coordinates):
Nd 0.2500 0.6564 0.4084  0.21
Nd 0.7500 0.7876 0.0842  0.02
Nd 0.7500 0.4531 0.1540  0.06
Nd 0.7500 0.3436 0.5916  0.21
Nd 0.2500 0.5469 0.8460  0.06
Nd 0.2500 0.2124 0.9158  0.02
Hg 0.7500 0.7770 0.7256  0.00
Hg 0.2500 0.2230 0.2744  0.00
C 0.2500 0.6332 0.1294  0.00
C 0.7500 0.3668 0.8706  0.00
Br 0.2500 0.1146 0.6123  0.01
Br 0.7500 0.8854 0.3877  0.01

DFT (PBE-GGA) results for crystalline Hg2C2BrO6 at its relaxed geometry.

Summary:
Uncorrected energy (eV/atom): -5.333

abc: 6.1972 5.4981 6.1417
angles: 109.59 92.18 72.54
Each line ends with the local moment (μB).
Atoms (fractional coordinates):
Hg 0.7847 0.3126 0.7448  0.00
Hg 0.2153 0.6874 0.2552  0.00
C 0.2242 0.7017 0.7613  -0.01
C 0.7758 0.2983 0.2387  -0.01
Br 0.5000 0.0000 0.5000  0.39
O 0.4256 0.7167 0.7780  0.17
O 0.8761 0.3604 0.0890  0.04
O 0.0929 0.7491 0.5995  0.00
O 0.1239 0.6396 0.9110  0.04
O 0.9071 0.2509 0.4005  0.00
O 0.5744 0.2833 0.2220  0.17

DFT (PBE-GGA) results for crystalline HgPdCBr2 at its relaxed geometry.

Summary:
Uncorrected energy (eV/atom): -2.253

abc: 5.1215 5.4012 5.1215
angles: 90.00 90.00 90.00
Each line ends with the local moment (μB).
Atoms (fractional coordinates):
C 0.5000 0.5000 0.5000  0.91
Br 0.0000 0.0000 0.5000  0.00
Br 0.5000 0.0000 0.0000  -0.01
Hg 0.0000 0.5000 0.0000  0.00
Pd 0.0000 0.0000 0.0000  -0.01